No. 1
Material: YNbN2F
Method: DFT, PBE
State: relaxed

Cell: 4.147 4.147 3.996 Å, 90.00 90.00 90.00°
Element x y z (fractional)
N  0.500  0.000  0.000
N  0.000  0.500  0.000
Nb  0.000  0.000  0.000
F  0.000  0.000  0.500
Y  0.500  0.500  0.500

Results
- Formation energy without anion corrections: -1.250 eV per atom
- M_tot: 0.0000 μB per atom



No. 2
Material: YNbN2F
Method: DFT, PBE
State: relaxed

Cell: 4.455 4.455 4.068 Å, 90.00 90.00 90.00°
Last column: magnetic moment on the atom in μB.
Element x y z (fractional)
N  0.500  0.000  0.000  -0.51
N  0.000  0.500  0.000  -0.51
F  0.000  0.000  0.500  0.03
Nb  0.500  0.500  0.500  2.04
Y  0.000  0.000  0.000  -0.09

Results
- Formation energy without anion corrections: -0.019 eV per atom
- M_tot: 0.1985 μB per atom



No. 3
Material: NbZnN2F
Method: DFT, PBE
State: relaxed

Cell: 3.896 3.896 3.677 Å, 90.00 90.00 90.00°
Element x y z (fractional)
Nb  0.500  0.500  0.500
Zn  0.000  0.000  0.000
F  0.000  0.000  0.500
N  0.500  0.000  0.000
N  0.000  0.500  0.000

Results
- Formation energy without anion corrections: 0.469 eV per atom
- M_tot: 0.0000 μB per atom



No. 4
Material: NbZnN2F
Method: DFT, PBE
State: relaxed

Cell: 4.096 4.096 4.077 Å, 90.00 90.00 90.00°
Element x y z (fractional)
N  0.500  0.000  0.000
N  0.000  0.500  0.000
Zn  0.500  0.500  0.500
Nb  0.000  0.000  0.000
F  0.000  0.000  0.500

Results
- Formation energy without anion corrections: -0.350 eV per atom
- M_tot: 0.0203 μB per atom



No. 5
Material: ZrNbNF2
Method: DFT, PBE
State: relaxed

Cell: 4.186 4.186 4.364 Å, 90.00 90.00 90.00°
Last column: magnetic moment on the atom in μB.
Element x y z (fractional)
F  0.000  0.500  0.000  0.06
F  0.500  0.000  0.000  0.06
Nb  0.500  0.500  0.500  2.87
Zr  0.000  0.000  0.000  0.21
N  0.000  0.000  0.500  -0.08

Results
- Formation energy without anion corrections: -1.034 eV per atom
- M_tot: 0.7881 μB per atom



No. 6
Material: ZrNbNF2
Method: DFT, PBE
State: relaxed

Cell: 4.173 4.173 4.159 Å, 90.00 90.00 90.00°
Last column: magnetic moment on the atom in μB.
Element x y z (fractional)
N  0.000  0.000  0.500  -0.07
F  0.500  0.000  0.000  0.08
F  0.000  0.500  0.000  0.08
Zr  0.500  0.500  0.500  1.36
Nb  0.000  0.000  0.000  0.69

Results
- Formation energy without anion corrections: -0.928 eV per atom
- M_tot: 0.5812 μB per atom



Q: Among the records above, which one has the highest formation energy without anion corrections?
A: number 3



Q: What is the formula in the first record?
A: YNbN2F



Q: Which of these has the highest M_tot?
A: number 5